1.
Density functional theory data (GGA-PBE) for a relaxed Cs2ZrTeCl6 crystal. Values from VASP.

**Calculated density**: 2911 kg/m³
**Crystal system**: tetragonal
**E_form (uncorrected)**: -1.5116 eV/atom
**Final energy**: -3.959 eV per atom

The structure in Quantum ESPRESSO input format:
```
&SYSTEM
  ibrav = 0, nat = 10, ntyp = 4
/
ATOMIC_SPECIES
Cl 35.45 Cl.upf
Zr 91.22 Zr.upf
Cs 132.91 Cs.upf
Te 127.60 Te.upf
CELL_PARAMETERS angstrom
-4.256 7.687 0.510
-3.464 -1.389 -7.971
-7.875 0.782 -1.573
ATOMIC_POSITIONS angstrom
Cl -3.701 1.334 -5.427
Cl -4.018 4.964 -2.034
Cl -2.316 1.889 -2.238
Cl -9.782 5.082 -6.353
Cl -5.813 1.998 -2.681
Cl -5.404 4.408 -5.223
Zr -3.860 3.149 -3.730
Cs -7.996 5.809 -2.397
Cs -7.599 1.271 -6.637
Te 0.000 0.000 0.000
```

---

2.
Density functional theory data (GGA-PBE) for a relaxed CsThCl5 crystal. Values from VASP.

**Calculated density**: 2832 kg/m³
**Crystal system**: monoclinic
**E_form (uncorrected)**: -2.1431 eV/atom
**Final energy**: -4.644 eV per atom

The structure in Quantum ESPRESSO input format:
```
&SYSTEM
  ibrav = 0, nat = 14, ntyp = 3
/
ATOMIC_SPECIES
Cl 35.45 Cl.upf
Cs 132.91 Cs.upf
Th 232.04 Th.upf
CELL_PARAMETERS angstrom
7.734 -0.614 2.414
2.570 7.321 2.414
0.306 0.199 11.068
ATOMIC_POSITIONS angstrom
Cl 2.929 6.937 5.181
Cl 7.681 -0.031 10.715
Cl 8.674 4.880 10.552
Cl 1.935 2.025 5.345
Cl 7.822 5.856 5.017
Cl 5.956 1.303 7.639
Cl 6.855 1.888 2.723
Cl 2.788 1.049 10.879
Cl 4.654 5.603 8.258
Cl 3.755 5.018 13.173
Cs 5.037 3.698 5.181
Cs 5.573 3.208 10.715
Th 0.000 0.000 0.000
Th 0.153 0.099 5.534
```

---

3.
Density functional theory data (GGA-PBE) for a relaxed Cs3ThCl7 crystal. Values from VASP.

**Calculated density**: 3263 kg/m³
**Crystal system**: monoclinic
**E_form (uncorrected)**: -2.1196 eV/atom
**Final energy**: -4.202 eV per atom

The structure in Quantum ESPRESSO input format:
```
&SYSTEM
  ibrav = 0, nat = 11, ntyp = 3
/
ATOMIC_SPECIES
Cl 35.45 Cl.upf
Cs 132.91 Cs.upf
Th 232.04 Th.upf
CELL_PARAMETERS angstrom
7.124 0.207 3.689
-1.436 6.981 3.689
-0.073 -0.092 8.846
ATOMIC_POSITIONS angstrom
Cl 4.455 0.987 4.607
Cl 6.524 2.210 11.270
Cl 4.538 5.735 13.841
Cl -0.063 4.562 4.607
Cl 3.781 4.779 8.526
Cl 0.740 0.935 2.229
Cl 0.651 6.857 11.270
Cs 2.813 3.555 11.849
Cs 5.122 1.702 8.016
Cs 0.479 5.376 8.016
Th 5.418 6.848 7.398
```

---

4.
Density functional theory data (GGA-PBE) for a relaxed CsThCl6 crystal. Values from VASP.

**Calculated density**: 3406 kg/m³
**Crystal system**: tetragonal
**Energy relative to the lowest polymorph listed for this composition**: 0.0000 eV per atom
**E_form (uncorrected)**: -1.7743 eV/atom
**Final energy**: -4.193 eV per atom

The structure in Quantum ESPRESSO input format:
```
&SYSTEM
  ibrav = 0, nat = 16, ntyp = 3
/
ATOMIC_SPECIES
Th 232.04 Th.upf
Cl 35.45 Cl.upf
Cs 132.91 Cs.upf
CELL_PARAMETERS angstrom
-7.061 1.769 -2.598
-2.995 -5.725 4.241
-1.163 5.956 7.218
ATOMIC_POSITIONS angstrom
Th -5.319 -0.489 2.626
Th -5.900 2.489 6.236
Cl -5.416 -0.285 5.522
Cl -5.701 0.915 8.456
Cl -4.951 -2.923 3.805
Cl -3.355 -1.695 0.858
Cl -8.424 1.633 5.646
Cl -5.518 1.086 0.406
Cl -2.795 0.367 3.216
Cl -6.701 -2.260 0.785
Cl -3.209 2.485 5.783
Cl -5.803 2.285 3.339
Cl -8.010 -0.485 3.079
Cl -6.267 4.923 5.057
Cs -0.581 2.978 3.609
Cs 0.000 0.000 0.000
```

---

5.
Density functional theory data (GGA-PBE) for a relaxed Cs2ThCl6 crystal. Values from VASP.

**Calculated density**: 3010 kg/m³
**Crystal system**: monoclinic
**E_form (uncorrected)**: -2.1746 eV/atom
**Final energy**: -4.420 eV per atom

The structure in Quantum ESPRESSO input format:
```
&SYSTEM
  ibrav = 0, nat = 18, ntyp = 3
/
ATOMIC_SPECIES
Cl 35.45 Cl.upf
Th 232.04 Th.upf
Cs 132.91 Cs.upf
CELL_PARAMETERS angstrom
-7.654 -1.501 1.760
0.844 -8.301 -3.405
3.910 -3.528 9.571
ATOMIC_POSITIONS angstrom
Cl -1.827 -7.014 -1.422
Cl 0.460 -7.764 6.143
Cl -1.073 -6.315 9.348
Cl -3.360 -5.566 1.782
Cl -1.679 -9.964 8.344
Cl -4.969 -10.223 0.813
Cl -3.712 -9.403 4.295
Cl -1.221 -3.366 -0.419
Cl 2.069 -3.106 7.113
Cl 0.360 -9.091 2.005
Cl 0.812 -3.927 3.631
Cl -3.260 -4.239 5.920
Th 1.955 -1.764 4.785
Th -3.405 -4.901 -0.823
Cs 1.201 -5.800 0.515
Cs -0.390 -11.075 5.048
Cs -2.510 -2.255 2.878
Cs -4.101 -7.530 7.410
```

---

6.
Density functional theory data (GGA-PBE) for a relaxed Cs3ThCl6 crystal. Values from VASP.

**Calculated density**: 3243 kg/m³
**Crystal system**: monoclinic
**E_form (uncorrected)**: -1.9502 eV/atom
**Final energy**: -4.056 eV per atom

The structure in Quantum ESPRESSO input format:
```
&SYSTEM
  ibrav = 0, nat = 10, ntyp = 3
/
ATOMIC_SPECIES
Cs 132.91 Cs.upf
Cl 35.45 Cl.upf
Th 232.04 Th.upf
CELL_PARAMETERS angstrom
7.686 -0.026 4.136
2.444 6.817 4.176
0.171 0.079 8.357
ATOMIC_POSITIONS angstrom
Cs 2.737 1.684 4.203
Cs 7.564 5.185 12.467
Cs 0.000 0.000 0.000
Cl 7.105 1.962 7.024
Cl 3.303 1.421 7.784
Cl 4.336 4.483 5.884
Cl 6.998 5.448 8.886
Cl 3.197 4.907 9.645
Cl 5.965 2.386 10.786
Th 5.151 3.435 8.335
```

---

7.
Density functional theory data (GGA-PBE) for a relaxed Cs2ThCl6 crystal. Values from VASP.

**Calculated density**: 3588 kg/m³
**Crystal system**: trigonal
**E_form (uncorrected)**: -2.1730 eV/atom
**Final energy**: -4.418 eV per atom

The structure in Quantum ESPRESSO input format:
```
&SYSTEM
  ibrav = 0, nat = 9, ntyp = 3
/
ATOMIC_SPECIES
Cs 132.91 Cs.upf
Cl 35.45 Cl.upf
Th 232.04 Th.upf
CELL_PARAMETERS angstrom
7.775 0.000 0.000
-3.888 6.733 0.000
0.000 0.000 6.281
ATOMIC_POSITIONS angstrom
Cs 3.888 2.244 1.686
Cs 0.000 4.489 4.595
Cl 0.000 2.252 1.479
Cl 1.950 1.126 4.802
Cl -1.937 5.607 1.479
Cl 3.888 4.481 4.802
Cl 1.937 5.607 1.479
Cl 5.825 1.126 4.802
Th 0.000 0.000 0.000
```

---

8.
Density functional theory data (GGA-PBE) for a relaxed CsThCl6 crystal. Values from VASP.

**Calculated density**: 3035 kg/m³
**Crystal system**: trigonal
**Energy relative to the lowest polymorph listed for this composition**: 0.0295 eV per atom
**E_form (uncorrected)**: -1.7448 eV/atom
**Final energy**: -4.164 eV per atom

The structure in Quantum ESPRESSO input format:
```
&SYSTEM
  ibrav = 0, nat = 8, ntyp = 3
/
ATOMIC_SPECIES
Cl 35.45 Cl.upf
Th 232.04 Th.upf
Cs 132.91 Cs.upf
CELL_PARAMETERS angstrom
-1.503 3.805 6.049
0.514 -3.196 6.546
6.226 2.122 4.620
ATOMIC_POSITIONS angstrom
Cl 3.612 3.741 11.768
Cl 1.625 -1.010 5.447
Cl 4.600 0.313 12.011
Cl 0.638 2.418 5.204
Cl 3.864 2.176 14.973
Cl 1.374 0.555 2.242
Th 0.000 0.000 0.000
Cs 2.619 1.365 8.608
```

---

9.
Density functional theory data (GGA-PBE) for a relaxed CsThTlCl6 crystal. Values from VASP.

**Calculated density**: 3657 kg/m³
**Crystal system**: trigonal
**E_form (uncorrected)**: -1.9194 eV/atom
**Final energy**: -4.333 eV per atom

The structure in Quantum ESPRESSO input format:
```
&SYSTEM
  ibrav = 0, nat = 18, ntyp = 4
/
ATOMIC_SPECIES
Tl 204.38 Tl.upf
Cl 35.45 Cl.upf
Cs 132.91 Cs.upf
Th 232.04 Th.upf
CELL_PARAMETERS angstrom
8.269 0.000 0.000
-4.134 7.161 0.000
0.000 0.000 11.994
ATOMIC_POSITIONS angstrom
Tl 0.000 0.000 0.000
Tl 0.000 0.000 5.997
Cl 3.127 4.368 1.464
Cl -1.008 2.793 7.461
Cl 5.346 0.524 4.533
Cl 1.008 2.793 10.530
Cl 1.915 2.269 4.533
Cl 2.923 0.524 1.464
Cl 5.142 4.368 4.533
Cl 2.219 4.892 7.461
Cl 6.354 2.269 1.464
Cl -2.219 4.892 10.530
Cl -1.212 6.637 7.461
Cl 1.212 6.637 10.530
Cs 4.134 2.387 8.995
Cs 0.000 4.774 2.998
Th 0.000 4.774 8.995
Th 4.134 2.387 2.998
```

---

10.
Density functional theory data (GGA-PBE) for a relaxed CsThZn2Cl8 crystal. Values from VASP.

**Calculated density**: 3266 kg/m³
**Crystal system**: trigonal
**E_form (uncorrected)**: -1.5169 eV/atom
**Final energy**: -3.650 eV per atom

The structure in Quantum ESPRESSO input format:
```
&SYSTEM
  ibrav = 0, nat = 12, ntyp = 4
/
ATOMIC_SPECIES
Cl 35.45 Cl.upf
Zn 65.41 Zn.upf
Th 232.04 Th.upf
Cs 132.91 Cs.upf
CELL_PARAMETERS angstrom
6.654 0.000 0.000
3.327 5.762 0.000
3.327 1.921 10.334
ATOMIC_POSITIONS angstrom
Cl 7.762 1.908 8.706
Cl 4.425 3.849 8.706
Cl 7.774 5.768 8.706
Cl 5.533 1.915 1.628
Cl 9.981 5.762 5.551
Cl 5.546 5.775 1.628
Cl 3.327 1.921 4.783
Cl 8.882 3.834 1.628
Zn 3.327 1.921 2.561
Zn 9.981 5.762 7.773
Th 0.000 0.000 0.000
Cs 6.654 3.842 5.167
```